# 1
This record from Alexandria via LeMat-Bulk describes an optimized crystal structure of In2ReSiPd. The functional is GGA-PBE.

Computed properties:
Formation energy (no corrections) ... 0.58 eV per atom

a = 5.189 Å, b = 5.189 Å, c = 4.566 Å
α = 90.00°, β = 90.00°, γ = 90.00°
Space group P4/mmm (No. 123)
Symmetry-distinct sites (fractional):
In  0.000  0.500  0.000 [2 per cell]
Re  0.000  0.000  0.000 [1 per cell]
Si  0.000  0.000  0.500 [1 per cell]
Pd  0.500  0.500  0.500 [1 per cell]

---

# 2
This record from Alexandria via LeMat-Bulk describes an optimized crystal structure of YIn2RePd. The functional is GGA-PBE.

Computed properties:
Energy relative to the elements ... 1698 meV per atom

a = 5.733 Å, b = 5.733 Å, c = 4.929 Å
α = 90.00°, β = 90.00°, γ = 90.00°
Space group P4/mmm (No. 123)
Symmetry-distinct sites (fractional):
Y  0.000  0.000  0.000 [1 per cell]
In  0.000  0.500  0.000 [2 per cell]
Re  0.500  0.500  0.500 [1 per cell]
Pd  0.000  0.000  0.500 [1 per cell]